PtIN2O after structural relaxation. Source: Alexandria, functional PBE.

Properties
ΔE_f (raw): 2.306 eV/atom
Calculated volume: 72.4 Å³/cell
Spin magnetization: 3.2 μB per formula unit

Cell lengths 3.8931, 3.8931, 4.7764 Å; angles 90.00, 90.00, 90.00 degrees
Space group P4/mmm (No. 123)
Asymmetric unit:
Pt (0.0000, 0.0000, 0.0000)
I (0.5000, 0.5000, 0.0000)
N (0.0000, 0.5000, 0.5000)
O (0.5000, 0.5000, 0.5000)


PtIN2O after structural relaxation. Source: Alexandria, functional PBE.

Properties
ΔE_f (raw): 2.011 eV/atom
Calculated volume: 66.9 Å³/cell
Spin magnetization: 0.0 μB per formula unit

Cell lengths 4.1730, 4.1730, 3.8416 Å; angles 90.00, 90.00, 90.00 degrees
Space group P4/mmm (No. 123)
Asymmetric unit:
Pt (0.0000, 0.0000, 0.0000)
I (0.5000, 0.5000, 0.5000)
N (0.0000, 0.5000, 0.5000)
O (0.5000, 0.5000, 0.0000)